# 1
## Pm2PrS (PBE)

Data for Pm2PrS after structural relaxation.

Properties
- raw formation energy (eV per atom) = -0.928
- calculated total energy (eV/cell) = -22.121
- size of the total moment (μB per cell) = 0.4

Lattice parameters (Å, degrees): 3.864 3.864 9.813 78.61 78.61 59.97
Each line ends with the local moment (μB).
Atoms (fractional coordinates):
Pm1 0.060 0.060 0.821  0.04
Pm2 0.273 0.273 0.180  0.03
S1 0.667 0.667 0.999  0.00
Pr1 0.500 0.500 0.500  0.11



# 2
## K2ZrI4Br2 (PBE)

Data for K2ZrI4Br2 after structural relaxation.

Properties
- raw formation energy (eV per atom) = -1.303
- calculated total energy (eV/cell) = -32.018
- size of the total moment (μB per cell) = 0.0

Lattice parameters (Å, degrees): 8.191 8.083 8.083 61.56 58.77 58.77
Atoms (fractional coordinates):
K1 0.763 0.245 0.245
K2 0.237 0.755 0.755
I1 0.699 0.797 0.290
I2 0.301 0.710 0.203
I3 0.301 0.203 0.710
I4 0.699 0.290 0.797
Br1 0.814 0.768 0.768
Br2 0.186 0.232 0.232
Zr1 0.500 0.000 0.000



# 3
## GdZrCd (PBE)

Data for GdZrCd after structural relaxation.

Properties
- energy of formation (meV/atom) = -102
- calculated total energy (eV/cell) = -23.849
- size of the total moment (μB per cell) = 7.1

Lattice parameters (Å, degrees): 3.399 3.399 7.020 104.01 104.01 90.00
Each line ends with the local moment (μB).
Atoms (fractional coordinates):
Cd1 0.324 0.324 0.649  0.00
Gd1 0.001 0.001 0.002  7.09
Zr1 0.675 0.675 0.349  -0.11



# 4
## Cr3Ir4Ru (PBE)

Data for Cr3Ir4Ru after structural relaxation.

Properties
- energy of formation (meV/atom) = -180
- calculated total energy (eV/cell) = -150.056
- size of the total moment (μB per cell) = 0.4

Lattice parameters (Å, degrees): 4.639 5.389 8.642 89.99 90.00 90.00
Each line ends with the local moment (μB).
Atoms (fractional coordinates):
Cr1 0.670 0.500 0.750  -0.27
Cr2 0.330 0.500 0.250  -0.27
Cr3 0.000 0.000 0.500  -1.05
Cr4 0.330 0.000 0.250  1.28
Cr5 0.000 0.000 0.000  -1.05
Cr6 0.670 0.000 0.750  1.28
Ir1 0.500 0.249 0.500  0.01
Ir2 0.160 0.247 0.750  0.03
Ir3 0.500 0.751 0.000  0.01
Ir4 0.840 0.247 0.250  0.03
Ir5 0.840 0.753 0.250  0.03
Ir6 0.500 0.249 0.000  0.01
Ir7 0.500 0.751 0.500  0.01
Ir8 0.160 0.753 0.750  0.03
Ru1 0.000 0.500 0.500  0.17
Ru2 0.000 0.500 0.000  0.17



# 5
## MgTaW4 (PBE)

Data for MgTaW4 after structural relaxation.

Properties
- energy of formation (meV/atom) = 240
- calculated total energy (eV/cell) = -63.820
- size of the total moment (μB per cell) = 0.0

Lattice parameters (Å, degrees): 5.314 5.314 5.314 60.00 60.00 60.00
Atoms (fractional coordinates):
Mg1 0.750 0.750 0.750
Ta1 0.000 0.000 0.000
W1 0.376 0.376 0.376
W2 0.873 0.376 0.376
W3 0.376 0.376 0.873
W4 0.376 0.873 0.376



# 6
## ZnCdP2 (PBE)

Data for ZnCdP2 after structural relaxation.

Properties
- energy of formation (meV/atom) = 208
- calculated total energy (eV/cell) = -24.356
- size of the total moment (μB per cell) = 0.0

Lattice parameters (Å, degrees): 5.849 5.849 6.729 64.24 64.24 90.00
Atoms (fractional coordinates):
Zn1 0.500 0.500 0.000
Zn2 0.250 0.750 0.500
P1 0.593 0.125 0.250
P2 0.375 0.407 0.750
P3 0.157 0.625 0.250
P4 0.875 0.843 0.750
Cd1 0.750 0.250 0.500
Cd2 0.000 0.000 0.000



# 7
## Sc5Al2Tc (PBE)

Data for Sc5Al2Tc after structural relaxation.

Properties
- energy of formation (meV/atom) = -325
- calculated total energy (eV/cell) = -104.222
- size of the total moment (μB per cell) = 0.0

Lattice parameters (Å, degrees): 4.613 6.008 11.625 90.00 90.00 90.00
Atoms (fractional coordinates):
Al1 0.500 0.662 0.635
Al2 0.500 0.838 0.135
Al3 0.500 0.338 0.365
Al4 0.500 0.162 0.865
Sc1 0.000 0.894 0.725
Sc2 0.000 0.000 0.000
Sc3 0.500 0.669 0.892
Sc4 0.000 0.500 0.500
Sc5 0.500 0.169 0.608
Sc6 0.500 0.831 0.392
Sc7 0.000 0.106 0.275
Sc8 0.500 0.331 0.108
Sc9 0.000 0.606 0.225
Sc10 0.000 0.394 0.775
Tc1 0.000 0.000 0.500
Tc2 0.000 0.500 0.000



# 8
## AcAl12Pt4 (PBE)

Data for AcAl12Pt4 after structural relaxation.

Properties
- energy of formation (meV/atom) = -381
- calculated total energy (eV/cell) = -79.664
- size of the total moment (μB per cell) = 0.0

Lattice parameters (Å, degrees): 7.694 7.694 7.694 109.47 109.47 109.47
Atoms (fractional coordinates):
Al1 0.347 0.516 0.170
Al2 0.823 0.170 0.653
Al3 0.653 0.823 0.170
Al4 0.830 0.347 0.177
Al5 0.347 0.177 0.830
Al6 0.177 0.830 0.347
Al7 0.484 0.830 0.653
Al8 0.653 0.484 0.830
Al9 0.516 0.170 0.347
Al10 0.170 0.347 0.516
Al11 0.170 0.653 0.823
Al12 0.830 0.653 0.484
Pt1 0.500 0.500 0.500
Pt2 0.000 0.500 0.000
Pt3 0.000 0.000 0.500
Pt4 0.500 0.000 0.000
Ac1 0.000 0.000 0.000